Record 1
The following is a GGA-PBE calculation of Pm12GaSi7 after structural relaxation, from Alexandria via LeMat-Bulk.

a = 8.9585 Å, b = 8.9585 Å, c = 8.9585 Å
α = 109.46°, β = 109.46°, γ = 109.46°
Last column: nearest neighbours and their distance in Å.
Fractional positions:
Pm 0.6853 0.6002 0.9028  4 Si 2.99-3.07, 1 Ga 3.33
Pm 0.1330 0.6566 0.2735  3 Si 2.92-2.95
Pm 0.0972 0.3147 0.3998  4 Si 2.99-3.07, 1 Ga 3.33
Pm 0.8670 0.3434 0.7265  3 Si 2.92-2.95
Pm 0.2735 0.1330 0.6566  3 Si 2.92-2.95
Pm 0.3147 0.3998 0.0972  4 Si 2.99-3.07, 1 Ga 3.33
Pm 0.9028 0.6853 0.6002  4 Si 2.99-3.07, 1 Ga 3.33
Pm 0.6002 0.9028 0.6853  4 Si 2.99-3.07, 1 Ga 3.33
Pm 0.6566 0.2735 0.1330  3 Si 2.92-2.95
Pm 0.3434 0.7265 0.8670  3 Si 2.92-2.95
Pm 0.7265 0.8670 0.3434  3 Si 2.92-2.95
Pm 0.3998 0.0972 0.3147  4 Si 2.99-3.07, 1 Ga 3.33
Ga 0.0000 0.0000 0.0000  6 Si 2.58
Si 0.0231 0.9299 0.2610  1 Ga 2.58, 2 Si 2.81
Si 0.0701 0.7390 0.9769  1 Ga 2.58, 2 Si 2.81
Si 0.2610 0.0231 0.9299  1 Ga 2.58, 2 Si 2.81
Si 0.7390 0.9769 0.0701  1 Ga 2.58, 2 Si 2.81
Si 0.9769 0.0701 0.7390  1 Ga 2.58, 2 Si 2.81
Si 0.9299 0.2610 0.0231  1 Ga 2.58, 2 Si 2.81
Si 0.5000 0.5000 0.5000  6 Pm 3.07

Results
* formation energy without anion corrections: -7.9 eV/f.u.
* volume: 554 Å³/f.u.
* calculated total energy: -5.30 eV per atom

=====

Record 2
The following is a GGA-PBE calculation of PmGaSi after structural relaxation, from Alexandria via LeMat-Bulk.

a = 4.1848 Å, b = 7.1938 Å, c = 8.3211 Å
α = 90.00°, β = 90.00°, γ = 90.00°
Last column: nearest neighbours and their distance in Å.
Fractional positions:
Pm 0.7500 0.7500 0.9999  6 Si 3.17-3.19, 6 Ga 3.17-3.19
Pm 0.7500 0.7500 0.4999  6 Si 3.17-3.19, 6 Ga 3.17-3.19
Pm 0.2500 0.2500 0.0001  6 Si 3.17-3.19, 6 Ga 3.17-3.19
Pm 0.2500 0.2500 0.5001  6 Si 3.17-3.19, 6 Ga 3.17-3.19
Si 0.2500 0.5823 0.7498  3 Ga 2.41
Si 0.7500 0.0823 0.7502  3 Ga 2.41
Si 0.2500 0.9177 0.2498  3 Ga 2.41
Si 0.7500 0.4177 0.2502  3 Ga 2.41
Ga 0.2500 0.9168 0.7497  3 Si 2.41
Ga 0.7500 0.4168 0.7503  3 Si 2.41
Ga 0.7500 0.0832 0.2503  3 Si 2.41
Ga 0.2500 0.5832 0.2497  3 Si 2.41

Results
* formation energy without anion corrections: -2.0 eV/f.u.
* volume: 63 Å³/f.u.
* calculated total energy: -5.08 eV per atom

=====

Record 3
The following is a GGA-PBE calculation of Pm3Ga2Si4 after structural relaxation, from Alexandria via LeMat-Bulk.

a = 4.2197 Å, b = 5.8521 Å, c = 8.2257 Å
α = 99.89°, β = 90.00°, γ = 111.13°
Last column: nearest neighbours and their distance in Å.
Fractional positions:
Si 0.0574 0.1149 0.3919  1 Si 2.36, 2 Ga 2.43
Si 0.2763 0.5526 0.9504  2 Si 2.37, 1 Ga 2.41
Si 0.9426 0.8851 0.6081  1 Si 2.36, 2 Ga 2.43
Si 0.7237 0.4474 0.0496  2 Si 2.37, 1 Ga 2.41
Pm 0.0000 0.0000 0.0000  8 Si 3.12-3.20, 4 Ga 3.18
Pm 0.6657 0.3314 0.6700  8 Si 3.07-3.19, 4 Ga 3.14-3.19
Pm 0.3343 0.6686 0.3300  8 Si 3.07-3.19, 4 Ga 3.14-3.19
Ga 0.3884 0.7769 0.7235  3 Si 2.41-2.43
Ga 0.6116 0.2231 0.2765  3 Si 2.41-2.43

Results
* formation energy without anion corrections: -5.8 eV/f.u.
* volume: 186 Å³/f.u.
* calculated total energy: -5.31 eV per atom

=====

Record 4
The following is a GGA-PBE calculation of Pm7Ga2Si2 after structural relaxation, from Alexandria via LeMat-Bulk.

a = 6.7986 Å, b = 7.2604 Å, c = 6.7986 Å
α = 90.00°, β = 107.90°, γ = 90.00°
Last column: nearest neighbours and their distance in Å.
Fractional positions:
Pm 0.4997 0.2796 0.0002  2 Si 2.88, 1 Pm 3.20
Pm 0.4998 0.2580 0.5002  2 Si 3.02, 2 Ga 3.22
Pm 0.5003 0.7204 0.9998  2 Si 2.88, 1 Pm 3.20
Pm 0.5002 0.7420 0.4998  2 Si 3.02, 2 Ga 3.22
Pm 0.0002 0.7204 0.4997  2 Si 2.88, 1 Pm 3.20
Pm 0.9998 0.2796 0.5003  2 Si 2.88, 1 Pm 3.20
Pm 0.0000 0.0000 0.0000  2 Si 3.13
Ga 0.1634 0.5000 0.1634  1 Ga 2.61
Ga 0.8366 0.5000 0.8366  1 Ga 2.61
Si 0.7153 0.0000 0.2847  7 Pm 2.88-3.13
Si 0.2847 0.0000 0.7153  7 Pm 2.88-3.13

Results
* formation energy without anion corrections: -3.4 eV/f.u.
* volume: 319 Å³/f.u.
* calculated total energy: -4.87 eV per atom

=====

Record 5
The following is a GGA-PBE calculation of PmGaSi after structural relaxation, from Alexandria via LeMat-Bulk.

a = 4.1667 Å, b = 5.8924 Å, c = 5.8924 Å
α = 75.31°, β = 69.29°, γ = 69.29°
Last column: nearest neighbours and their distance in Å.
Fractional positions:
Pm 0.7531 0.7469 0.7469  6 Ga 3.15-3.21, 6 Si 3.16-3.21
Pm 0.2469 0.2531 0.2531  6 Ga 3.15-3.21, 6 Si 3.16-3.21
Ga 0.0000 0.1683 0.8317  2 Si 2.41, 1 Ga 2.42
Ga 0.0000 0.8317 0.1683  2 Si 2.41, 1 Ga 2.42
Si 0.5000 0.3360 0.6640  1 Si 2.36, 2 Ga 2.41
Si 0.5000 0.6640 0.3360  1 Si 2.36, 2 Ga 2.41

Results
* formation energy without anion corrections: -2.1 eV/f.u.
* volume: 63 Å³/f.u.
* calculated total energy: -5.09 eV per atom

=====

Record 6
The following is a GGA-PBE calculation of Tb2Pm2Ga4Si after structural relaxation, from Alexandria via LeMat-Bulk.

a = 6.6282 Å, b = 6.6282 Å, c = 6.6282 Å
α = 96.86°, β = 116.12°, γ = 116.12°
Last column: nearest neighbours and their distance in Å.
Fractional positions:
Ga 0.5063 0.7531 0.7531  1 Si 2.45
Ga 0.0000 0.2469 0.7531  1 Si 2.45
Ga 0.0000 0.7531 0.2469  1 Si 2.45
Ga 0.4937 0.2469 0.2469  1 Si 2.45
Si 0.0000 0.0000 0.0000  4 Ga 2.45, 2 Tb 2.70
Pm 0.5000 0.7500 0.2500  8 Ga 3.31, 4 Tb 3.54
Pm 0.5000 0.2500 0.7500  8 Ga 3.31, 4 Tb 3.54
Tb 0.0000 0.3069 0.3069  1 Si 2.70
Tb 0.0000 0.6931 0.6931  1 Si 2.70

Results
* formation energy without anion corrections: -3.1 eV/f.u.
* volume: 216 Å³/f.u.
* calculated total energy: -4.38 eV per atom

=====

Record 7
The following is a GGA-PBE calculation of TbPmGaSi after structural relaxation, from Alexandria via LeMat-Bulk.

a = 4.3729 Å, b = 4.0047 Å, c = 5.8950 Å
α = 90.00°, β = 111.77°, γ = 90.00°
Last column: nearest neighbours and their distance in Å.
Fractional positions:
Pm 0.8578 0.5000 0.7155  4 Ga 3.06, 3 Si 3.10-3.23
Tb 0.1393 0.0000 0.2787  4 Si 3.05, 3 Ga 3.16-3.18
Ga 0.4280 0.0000 0.8560  2 Si 2.57
Si 0.5749 0.5000 0.1498  2 Ga 2.57

Results
* formation energy without anion corrections: -2.9 eV/f.u.
* volume: 96 Å³/f.u.
* calculated total energy: -5.19 eV per atom

=====

Record 8
The following is a GGA-PBE calculation of TbPmGaSi after structural relaxation, from Alexandria via LeMat-Bulk.

a = 5.0953 Å, b = 5.0953 Å, c = 5.0953 Å
α = 60.00°, β = 60.00°, γ = 60.00°
Last column: nearest neighbours and their distance in Å.
Fractional positions:
Pm 0.7500 0.7500 0.7500  4 Ga 3.12, 4 Si 3.12
Ga 0.0000 0.0000 0.0000  4 Tb 3.12, 4 Pm 3.12
Si 0.5000 0.5000 0.5000  4 Pm 3.12, 4 Tb 3.12
Tb 0.2500 0.2500 0.2500  4 Si 3.12, 4 Ga 3.12

Results
* formation energy without anion corrections: -2.0 eV/f.u.
* volume: 94 Å³/f.u.
* calculated total energy: -4.95 eV per atom

=====

Record 9
The following is a GGA-PBE calculation of PmThGaSi after structural relaxation, from Alexandria via LeMat-Bulk.

a = 4.4157 Å, b = 4.0439 Å, c = 6.0025 Å
α = 90.00°, β = 111.58°, γ = 90.00°
Last column: nearest neighbours and their distance in Å.
Fractional positions:
Th 0.8587 0.5000 0.7174  4 Si 3.08, 3 Ga 3.17-3.27
Pm 0.1417 0.0000 0.2833  4 Ga 3.09, 3 Si 3.16-3.27
Si 0.4251 0.0000 0.8502  2 Ga 2.62
Ga 0.5745 0.5000 0.1490  2 Si 2.62

Results
* formation energy without anion corrections: -2.6 eV/f.u.
* volume: 100 Å³/f.u.
* calculated total energy: -5.81 eV per atom

=====

Record 10
The following is a GGA-PBE calculation of PmThGaSi after structural relaxation, from Alexandria via LeMat-Bulk.

a = 5.1655 Å, b = 5.1655 Å, c = 5.1655 Å
α = 60.00°, β = 60.00°, γ = 60.00°
Last column: nearest neighbours and their distance in Å.
Fractional positions:
Ga 0.7500 0.7500 0.7500  4 Pm 3.16, 4 Th 3.16
Si 0.2500 0.2500 0.2500  4 Th 3.16, 4 Pm 3.16
Pm 0.0000 0.0000 0.0000  4 Si 3.16, 4 Ga 3.16
Th 0.5000 0.5000 0.5000  4 Ga 3.16, 4 Si 3.16

Results
* formation energy without anion corrections: -1.6 eV/f.u.
* volume: 97 Å³/f.u.
* calculated total energy: -5.55 eV per atom

=====

Record 11
The following is a GGA-PBE calculation of Pm2SmGa after structural relaxation, from Alexandria via LeMat-Bulk.

a = 4.8269 Å, b = 4.8180 Å, c = 4.8180 Å
α = 90.00°, β = 90.00°, γ = 90.00°
Last column: nearest neighbours and their distance in Å.
Fractional positions:
Ga 0.5000 0.5000 0.5000  4 Sm 3.41, 8 Pm 3.41
Pm 0.0000 0.0000 0.5000  4 Pm 3.41, 4 Ga 3.41, 4 Sm 3.41
Pm 0.0000 0.5000 0.0000  4 Pm 3.41, 4 Ga 3.41, 4 Sm 3.41
Sm 0.5000 0.0000 0.0000  4 Ga 3.41, 8 Pm 3.41

Results
* formation energy: -234 meV per atom
* volume: 112 Å³/f.u.
* calculated total energy: -4.55 eV per atom

=====

Record 12
The following is a GGA-PBE calculation of PmSmGa2 after structural relaxation, from Alexandria via LeMat-Bulk.

a = 5.1734 Å, b = 5.1732 Å, c = 5.1732 Å
α = 60.00°, β = 60.00°, γ = 60.00°
Last column: nearest neighbours and their distance in Å.
Fractional positions:
Ga 0.5000 0.5000 0.5000  4 Pm 3.17, 4 Sm 3.17
Ga 0.0000 0.0000 0.0000  4 Sm 3.17, 4 Pm 3.17
Pm 0.2500 0.2500 0.2500  8 Ga 3.17
Sm 0.7500 0.7500 0.7500  8 Ga 3.17

Results
* formation energy: -567 meV per atom
* volume: 98 Å³/f.u.
* calculated total energy: -4.45 eV per atom